VASP calculation (GGA-PBEsol) on an optimized crystal structure of FeCo2Rh.

Cell and atoms, written as CIF:
```
data_FeCo2Rh
_chemical_formula_sum 'Fe1 Co2 Rh1'
_cell_length_a 3.573
_cell_length_b 3.573
_cell_length_c 3.577
_cell_angle_alpha 90.00
_cell_angle_beta 90.00
_cell_angle_gamma 90.00
_space_group_name_H-M_alt 'P 1'
_space_group_IT_number 1
loop_
_space_group_symop_operation_xyz
'x,y,z'
loop_
_atom_site_label
_atom_site_type_symbol
_atom_site_fract_x
_atom_site_fract_y
_atom_site_fract_z
Fe1 Fe 0.000 0.000 0.000
Co1 Co 0.000 0.500 0.500
Co2 Co 0.500 0.000 0.500
Rh1 Rh 0.500 0.500 0.000
```

Computed properties:
Energy of formation = 0.0561 eV/atom
SG = No. 123
Calculated total energy = -8.088 eV per atom
Excess energy over the best structure of this formula in the dataset = 0 meV per atom

VASP calculation (GGA-PBEsol) on an optimized crystal structure of FeCo2Rh.

Cell and atoms, written as CIF:
```
data_FeCo2Rh
_chemical_formula_sum 'Fe1 Co2 Rh1'
_cell_length_a 4.752
_cell_length_b 4.752
_cell_length_c 4.752
_cell_angle_alpha 145.44
_cell_angle_beta 129.01
_cell_angle_gamma 63.07
_space_group_name_H-M_alt 'P 1'
_space_group_IT_number 1
loop_
_space_group_symop_operation_xyz
'x,y,z'
loop_
_atom_site_label
_atom_site_type_symbol
_atom_site_fract_x
_atom_site_fract_y
_atom_site_fract_z
Fe1 Fe 0.000 0.000 0.000
Co1 Co 0.236 0.736 0.500
Co2 Co 0.764 0.264 0.500
Rh1 Rh 0.500 0.500 0.000
```

Computed properties:
Energy of formation = 0.0935 eV/atom
SG = No. 71
Calculated total energy = -8.051 eV per atom
Excess energy over the best structure of this formula in the dataset = 37 meV per atom

VASP calculation (GGA-PBEsol) on an optimized crystal structure of FeCo4Rh.

Cell and atoms, written as CIF:
```
data_FeCo4Rh
_chemical_formula_sum 'Fe1 Co4 Rh1'
_cell_length_a 4.588
_cell_length_b 4.588
_cell_length_c 4.588
_cell_angle_alpha 60.00
_cell_angle_beta 60.00
_cell_angle_gamma 60.00
_space_group_name_H-M_alt 'P 1'
_space_group_IT_number 1
loop_
_space_group_symop_operation_xyz
'x,y,z'
loop_
_atom_site_label
_atom_site_type_symbol
_atom_site_fract_x
_atom_site_fract_y
_atom_site_fract_z
Fe1 Fe 0.000 0.000 0.000
Co1 Co 0.125 0.625 0.625
Co2 Co 0.625 0.125 0.625
Co3 Co 0.625 0.625 0.125
Co4 Co 0.625 0.625 0.625
Rh1 Rh 0.250 0.250 0.250
```

Computed properties:
Energy of formation = 0.0946 eV/atom
SG = No. 216
Calculated total energy = -7.914 eV per atom

VASP calculation (GGA-PBEsol) on an optimized crystal structure of FeCo2Rh.

Cell and atoms, written as CIF:
```
data_FeCo2Rh
_chemical_formula_sum 'Fe1 Co2 Rh1'
_cell_length_a 4.384
_cell_length_b 4.384
_cell_length_c 4.384
_cell_angle_alpha 131.94
_cell_angle_beta 131.94
_cell_angle_gamma 70.32
_space_group_name_H-M_alt 'P 1'
_space_group_IT_number 1
loop_
_space_group_symop_operation_xyz
'x,y,z'
loop_
_atom_site_label
_atom_site_type_symbol
_atom_site_fract_x
_atom_site_fract_y
_atom_site_fract_z
Fe1 Fe 0.000 0.000 0.000
Co1 Co 0.500 0.500 0.000
Co2 Co 0.750 0.250 0.500
Rh1 Rh 0.250 0.750 0.500
```

Computed properties:
Energy of formation = 0.0649 eV/atom
SG = No. 119
Calculated total energy = -8.079 eV per atom
Excess energy over the best structure of this formula in the dataset = 9 meV per atom